No. 1
# PBE-GGA MgNb3Cu, optimized geometry
data_MgNb3Cu
_chemical_formula_sum 'Mg1 Nb3 Cu1'
_space_group_name_H-M_alt 'P m -3 m'
_space_group_IT_number 221
_space_group_name_Hall '-P 4 2 3'
_cell_length_a 4.7180
_cell_length_b 4.7180
_cell_length_c 4.7180
_cell_angle_alpha 90.00
_cell_angle_beta 90.00
_cell_angle_gamma 90.00
loop_
_atom_site_label
_atom_site_fract_x
_atom_site_fract_y
_atom_site_fract_z
Mg1 0.0000 0.0000 0.0000
Nb1 0.0000 0.0000 0.5000
Cu1 0.5000 0.5000 0.5000
# density	5.8	g cm⁻³
# excess energy over the best structure of this formula in the dataset	863.4	meV per atom
# calculated formation energy	9.41	eV per formula unit

No. 2
# PBE-GGA SrCd7Ag12, optimized geometry
data_SrCd7Ag12
_chemical_formula_sum 'Sr2 Cd14 Ag24'
_space_group_name_H-M_alt 'I m -3'
_space_group_IT_number 204
_space_group_name_Hall '-I 2 2 3'
_cell_length_a 10.2187
_cell_length_b 10.2187
_cell_length_c 10.2187
_cell_angle_alpha 90.00
_cell_angle_beta 90.00
_cell_angle_gamma 90.00
loop_
_atom_site_label
_atom_site_fract_x
_atom_site_fract_y
_atom_site_fract_z
Sr1 0.0000 0.0000 0.0000
Cd1 0.0000 0.0000 0.5000
Cd2 0.2500 0.2500 0.2500
Ag1 0.0000 0.2638 0.1442
# density	6.8	g cm⁻³
# calculated formation energy	4.83	eV per formula unit

No. 3
# PBE-GGA ErPuCdOs, optimized geometry
data_ErPuCdOs
_chemical_formula_sum 'Er4 Pu4 Cd4 Os4'
_space_group_name_H-M_alt 'F -4 3 m'
_space_group_IT_number 216
_space_group_name_Hall 'F -4 2 3'
_cell_length_a 7.0701
_cell_length_b 7.0701
_cell_length_c 7.0701
_cell_angle_alpha 90.00
_cell_angle_beta 90.00
_cell_angle_gamma 90.00
loop_
_atom_site_label
_atom_site_fract_x
_atom_site_fract_y
_atom_site_fract_z
Er1 0.0000 0.0000 0.0000
Pu1 0.0000 0.0000 0.5000
Cd1 0.2500 0.2500 0.2500
Os1 0.2500 0.2500 0.7500
# density	13.4	g cm⁻³
# excess energy over the best structure of this formula in the dataset	161.6	meV per atom
# calculated formation energy	-0.07	eV per formula unit

Number 1: calculated volume 21.00 Å³ per atom. Number 2: calculated volume 26.68 Å³ per atom. Number 3: calculated volume 22.09 Å³ per atom.